(1)
Ba3CrB2O8: relaxed, GGA+U.

Cell lengths 5.412, 5.412, 7.221 Å; angles 90.00, 90.00, 120.00 degrees
Element x y z (fractional)
Ba1 0.000 0.000 0.000
Ba2 0.333 0.667 0.698
Ba3 0.667 0.333 0.302
Cr1 0.000 0.000 0.500
B1 0.333 0.667 0.266
B2 0.667 0.333 0.734
O1 0.179 0.358 0.334
O2 0.179 0.821 0.334
O3 0.333 0.667 0.067
O4 0.358 0.179 0.666
O5 0.642 0.821 0.334
O6 0.667 0.333 0.933
O7 0.821 0.179 0.666
O8 0.821 0.642 0.666

Output
Its total magnetization is 1.97 μB per cell. The value obtained for the energy is -99.64 eV/f.u.

***

(2)
BaCrBO4: relaxed, GGA+U.

Cell lengths 4.316, 5.567, 7.362 Å; angles 90.00, 105.72, 90.00 degrees
Element x y z (fractional)
Ba1 0.245 0.250 0.380
Ba2 0.755 0.750 0.620
Cr1 0.403 0.750 0.994
Cr2 0.597 0.250 0.006
B1 0.092 0.250 0.788
B2 0.908 0.750 0.212
O1 0.031 0.250 0.972
O2 0.145 0.750 0.384
O3 0.341 0.026 0.804
O4 0.341 0.474 0.804
O5 0.659 0.526 0.196
O6 0.659 0.974 0.196
O7 0.855 0.250 0.616
O8 0.969 0.750 0.028

Output
Its total magnetization is 6.00 μB per cell. The value obtained for the energy is -51.96 eV/f.u.

***

(3)
Ba3CrB2O6: relaxed, GGA+U.

Cell lengths 5.587, 5.587, 7.628 Å; angles 90.00, 90.00, 120.00 degrees
Element x y z (fractional)
Ba1 0.000 0.000 0.000
Ba2 0.333 0.667 0.681
Ba3 0.667 0.333 0.319
Cr1 0.000 0.000 0.500
B1 0.333 0.667 0.274
B2 0.667 0.333 0.726
O1 0.189 0.377 0.283
O2 0.189 0.811 0.283
O3 0.377 0.189 0.717
O4 0.623 0.811 0.283
O5 0.811 0.189 0.717
O6 0.811 0.623 0.717

Output
Its total magnetization is 4.89 μB per cell. The value obtained for the energy is -83.29 eV/f.u.

***

Mass density (g cm⁻³)
5.56 5.15 4.68